[1]
# Sr2Sn3PdPt4, relaxed, DFT PBE
data_Sr2Sn3PdPt4
_space_group_name_H-M_alt 'P -4 m 2'
_space_group_IT_number 115
_space_group_name_Hall 'P -4 -2'
_cell_length_a 4.409
_cell_length_b 4.409
_cell_length_c 11.629
_cell_angle_alpha 90.00
_cell_angle_beta 90.00
_cell_angle_gamma 90.00
loop_
_atom_site_label
_atom_site_type_symbol
_atom_site_fract_x
_atom_site_fract_y
_atom_site_fract_z
Sr1 Sr 0.000 0.500 0.238
Sn1 Sn 0.000 0.000 0.000
Sn2 Sn 0.000 0.500 0.632
Pd1 Pd 0.500 0.500 0.000
Pt1 Pt 0.000 0.000 0.500
Pt2 Pt 0.000 0.500 0.858
Pt3 Pt 0.500 0.500 0.500
# Crystal system: tetragonal
# Calculated total energy, eV/cell: -51.875
# Mass density, g/cm3: 10.417
# DFT formation energy, eV per atom: -0.715

---

[2]
# SrSnPdPt, relaxed, DFT PBE
data_SrSnPdPt
_space_group_name_H-M_alt 'C 1 m 1'
_space_group_IT_number 8
_space_group_name_Hall 'C -2y'
_cell_length_a 8.013
_cell_length_b 4.628
_cell_length_c 5.904
_cell_angle_alpha 90.00
_cell_angle_beta 116.96
_cell_angle_gamma 90.00
loop_
_atom_site_label
_atom_site_type_symbol
_atom_site_fract_x
_atom_site_fract_y
_atom_site_fract_z
Sr1 Sr 0.000 0.000 0.000
Sn1 Sn 0.495 0.000 0.486
Pd1 Pd 0.199 0.000 0.598
Pt1 Pt 0.300 0.500 0.399
# Crystal system: monoclinic
# Calculated total energy, eV/cell: -39.754
# Mass density, g/cm3: 8.640
# DFT formation energy, eV per atom: -0.740

---

[3]
# SrSn2PdPt, relaxed, DFT PBE
data_SrSn2PdPt
_space_group_name_H-M_alt 'I -4 m 2'
_space_group_IT_number 119
_space_group_name_Hall 'I -4 -2'
_cell_length_a 4.755
_cell_length_b 4.755
_cell_length_c 10.820
_cell_angle_alpha 90.00
_cell_angle_beta 90.00
_cell_angle_gamma 90.00
loop_
_atom_site_label
_atom_site_type_symbol
_atom_site_fract_x
_atom_site_fract_y
_atom_site_fract_z
Sr1 Sr 0.000 0.000 0.000
Sn1 Sn 0.000 0.000 0.363
Pd1 Pd 0.000 0.500 0.250
Pt1 Pt 0.000 0.500 0.750
# Crystal system: tetragonal
# Calculated total energy, eV/cell: -48.898
# Mass density, g/cm3: 8.505
# DFT formation energy, eV per atom: -0.706

---

[4]
# TbSnPdPt, relaxed, DFT PBE
data_TbSnPdPt
_space_group_name_H-M_alt 'F -4 3 m'
_space_group_IT_number 216
_space_group_name_Hall 'F -4 2 3'
_cell_length_a 6.821
_cell_length_b 6.821
_cell_length_c 6.821
_cell_angle_alpha 90.00
_cell_angle_beta 90.00
_cell_angle_gamma 90.00
loop_
_atom_site_label
_atom_site_type_symbol
_atom_site_fract_x
_atom_site_fract_y
_atom_site_fract_z
Tb1 Tb 0.000 0.000 0.000
Sn1 Sn 0.000 0.000 0.500
Pd1 Pd 0.250 0.250 0.750
Pt1 Pt 0.250 0.250 0.250
# Crystal system: cubic
# Calculated total energy, eV/cell: -93.847
# Mass density, g/cm3: 12.121
# DFT formation energy, eV per atom: -0.899